10
Lattice="7.268 0.000 0.000 0.000 6.450 0.000 -3.239 0.000 7.024" Properties=species:S:1:pos:R:3 comment="GGA-PBE RbPSe3, optimized geometry" e_form_raw_ev_per_atom=-0.40 pbc="T T T"
Rb 0.152 1.612 3.024
Rb 3.876 4.837 4.000
P 0.377 4.837 6.325
P 3.651 1.612 0.698
Se -1.339 0.228 7.002
Se -1.339 2.996 7.002
Se 0.266 4.837 4.131
Se 3.763 1.612 2.892
Se 5.368 3.453 0.021
Se 5.368 6.221 0.021



11
Lattice="3.208 -5.577 0.000 3.208 5.577 0.000 -1.288 0.000 5.061" Properties=species:S:1:pos:R:3 comment="GGA-PBE Ba2Li2OsO6, optimized geometry" e_form_raw_ev_per_atom=-1.86 pbc="T T T"
Ba 3.208 3.757 0.000
Ba 3.208 -3.757 0.000
Li 2.564 1.127 2.531
Li 2.564 -1.127 2.531
Os 3.208 0.000 0.000
O 1.179 1.422 3.939
O 1.595 0.000 1.165
O 1.179 -1.422 3.939
O 3.950 1.422 1.123
O 3.534 0.000 3.896
O 3.950 -1.422 1.123



4
Lattice="2.984 0.000 0.000 0.000 4.295 0.000 0.000 0.000 5.733" Properties=species:S:1:pos:R:3 comment="GGA-PBE ScTc2Hg, optimized geometry" ef_ev_per_atom=0.2440 pbc="T T T"
Sc 0.000 0.000 0.000
Tc 1.492 2.148 1.149
Tc 1.492 2.148 4.584
Hg 0.000 0.000 2.867



8
Lattice="5.600 0.000 0.000 0.000 9.172 0.000 0.000 0.000 2.691" Properties=species:S:1:pos:R:3 comment="GGA-PBE Li2InMo, optimized geometry" ef_ev_per_atom=0.3190 pbc="T T T"
Li 1.400 2.293 0.000
Li 1.400 6.879 0.000
Li 4.200 2.293 0.000
Li 4.200 6.879 0.000
In 0.000 0.000 1.346
In 2.800 4.586 1.346
Mo 0.000 4.586 1.346
Mo 2.800 0.000 1.346



Number 1: magnetization 0.00 μB/atom, total energy -37.7 eV for the cell shown. Number 2: magnetization 0.18 μB/atom, total energy -69.2 eV for the cell shown. Number 3: magnetization 0.00 μB/atom, total energy -26.4 eV for the cell shown. Number 4: magnetization 0.00 μB/atom, total energy -32.2 eV for the cell shown.